NaAcTc (PBE, relaxed); electronic total energy = -0.147 Ha/atom; spin magnetization = 6.84 Bohr magnetons per cell; offset from the most stable computed form = 0 meV/atom; symmetry = F-43m, No. 216
1.0
6.992 0.000 0.000
0.000 6.992 0.000
0.000 0.000 6.992
Na Ac Tc
4 4 4
Direct
0.000 0.000 0.000
0.000 0.500 0.500
0.500 0.000 0.500
0.500 0.500 0.000
0.250 0.250 0.750
0.250 0.750 0.250
0.750 0.250 0.250
0.750 0.750 0.750
0.250 0.250 0.250
0.250 0.750 0.750
0.750 0.250 0.750
0.750 0.750 0.250



Tm2In2PdPt3 (PBE, relaxed); electronic total energy = -0.208 Ha/atom; spin magnetization = 0.01 Bohr magnetons per cell; symmetry = P3m1, No. 156
1.0
4.563 0.000 0.000
-2.281 3.951 0.000
0.000 0.000 8.966
Tm In Pd Pt
2 2 1 3
Direct
0.000 0.000 0.000
0.333 0.667 0.506
0.667 0.333 0.255
0.667 0.333 0.755
0.333 0.667 0.164
0.000 0.000 0.343
0.000 0.000 0.659
0.333 0.667 0.849



Dy2YSc3Sb2Os (PBE, relaxed); electronic total energy = -0.249 Ha/atom; spin magnetization = 0.01 Bohr magnetons per cell; symmetry = Amm2, No. 38
1.0
4.185 0.000 0.000
0.000 6.770 3.913
0.000 -6.770 3.913
Dy Y Sc Sb Os
2 1 3 2 1
Direct
0.000 0.197 0.803
0.000 0.803 0.197
0.000 0.408 0.408
0.500 0.030 0.030
0.500 0.576 0.803
0.500 0.803 0.576
0.500 0.136 0.469
0.500 0.469 0.136
0.000 0.803 0.803



LaCd2W4 (PBE, relaxed); formation energy from the elements = 844.5 kJ/mol of formula units; electronic total energy = -0.261 Ha/atom; spin magnetization = 0.00 Bohr magnetons per cell; symmetry = P-3m1, No. 164
1.0
4.616 0.000 0.000
-2.308 3.997 0.000
0.000 0.000 8.208
La Cd W
1 2 4
Direct
0.000 0.000 0.000
0.333 0.667 0.746
0.667 0.333 0.254
0.333 0.667 0.093
0.333 0.667 0.421
0.667 0.333 0.579
0.667 0.333 0.907



PmSm3P4 (PBE, relaxed); electronic total energy = -0.244 Ha/atom; spin magnetization = 0.02 Bohr magnetons per cell; symmetry = Cmmm, No. 65
1.0
8.222 0.000 0.000
0.000 11.628 0.000
0.000 0.000 4.113
Pm Sm P
2 6 8
Direct
0.000 0.000 0.000
0.500 0.500 0.000
0.000 0.500 0.000
0.250 0.250 0.500
0.250 0.750 0.500
0.500 0.000 0.000
0.750 0.250 0.500
0.750 0.750 0.500
0.000 0.250 0.000
0.000 0.750 0.000
0.249 0.500 0.500
0.251 0.000 0.500
0.500 0.250 0.000
0.500 0.750 0.000
0.749 0.000 0.500
0.751 0.500 0.500



CdIn2SeS3 (PBE, relaxed); electronic total energy = -0.138 Ha/atom; symmetry = P1, No. 1
1.0
5.796 0.000 0.000
-0.075 5.840 0.000
-2.813 -2.851 5.660
Cd In Se S
1 2 1 3
Direct
0.000 0.000 0.000
0.241 0.745 0.493
0.494 0.503 0.997
0.626 0.139 0.712
0.108 0.603 0.735
0.393 0.379 0.264
0.862 0.884 0.264